NbAlNi2Sn: relaxed, PBE-GGA.

Cell and atoms, written as POSCAR:
```
NbAlNi2Sn
1.0
4.6151 0.0000 0.0000
0.0000 4.6151 0.0000
0.0000 0.0000 5.0498
Ni Al Sn Nb
2 1 1 1
Direct
0.0000 0.5000 0.0000 Ni
0.5000 0.0000 0.0000 Ni
0.0000 0.0000 0.5000 Al
0.5000 0.5000 0.5000 Sn
0.0000 0.0000 0.0000 Nb
```

Results
The electronic total energy is -4.90 eV/atom. Its total magnetic moment is 0.00 Bohr magnetons per cell. Its calculated density is 5.50 g/cm3.